## TaCoB2S (GGA-PBE)

Data for a relaxed structure of TaCoB2S.

**V**: 17.28 A^3/atom
**Crystal system**: tetragonal
**E_form (uncorrected)**: 1399 meV per atom

Unit cell a=4.2868 b=4.7029 c=4.2868 alpha=90.00 beta=90.00 gamma=90.00
Last column: nearest neighbours and their distance in Å.
Fractional positions:
B  0.0000  0.0000  0.5000  2 Ta 2.14
B  0.5000  0.0000  0.0000  2 Ta 2.14
Co  0.5000  0.5000  0.5000  4 S 3.03, 8 B 3.18
Ta  0.0000  0.0000  0.0000  4 B 2.14, 2 S 2.35
S  0.0000  0.5000  0.0000  2 Ta 2.35